Material: Rb2LiNi2F7
Method: DFT, GGA+U
State: relaxed

Summary:
- Spin magnetization: 0.333 μB/atom
- Symmetry: C2/m (12)
- E: -4.2582 eV per atom

Cell: 4.0605 4.0605 11.2266 Å, 79.57 79.57 90.00°
With the nearest neighbours (Å) after each atom.
Fractional positions:
Rb 0.8188 0.8188 0.3656  9 F 2.87-2.92
Rb 0.1812 0.1812 0.6344  9 F 2.87-2.92
Li 0.0000 0.0000 0.0000  12 F 2.75-2.87
Ni 0.5886 0.5886 0.8188  6 F 1.97-2.04
Ni 0.4114 0.4114 0.1812  6 F 1.97-2.04
F 0.5000 0.5000 0.0000  2 Ni 1.97
F 0.3172 0.3172 0.3690  1 Ni 2.04
F 0.6828 0.6828 0.6310  1 Ni 2.04
F 0.9157 0.4168 0.1724  2 Ni 2.03
F 0.4168 0.9157 0.1724  2 Ni 2.03
F 0.5832 0.0843 0.8276  2 Ni 2.03
F 0.0843 0.5832 0.8276  2 Ni 2.03